NaCdCu4: relaxed, PBE.

Properties
- Total moment: 0.0 μB/cell
- Uncorrected energy: -18.34 eV for the cell shown
- ΔH_f (0 K): 0.046 eV/atom

Unit cell a=5.063 b=5.063 c=5.063 alpha=60.00 beta=60.00 gamma=60.00
Fractional coordinates of all 6 atoms:
Na (0.000, 0.000, 0.000)
Cd (0.250, 0.250, 0.250)
Cu (0.126, 0.625, 0.625)
Cu (0.625, 0.126, 0.625)
Cu (0.625, 0.625, 0.126)
Cu (0.625, 0.625, 0.625)